Entry 1:
A plane-wave DFT calculation with PBE-GGA was carried out for crystalline PaRe4Sn at its relaxed geometry.

Output
Its calculated formation energy is 149 meV/atom.

a = 7.6157 Å, b = 7.6157 Å, c = 7.6157 Å
α = 90.00°, β = 90.00°, γ = 90.00°
Closest atoms and distances in Å follow each position.
Space group F-43m (No. 216)
Unique sites:
Pa1 0.0000 0.0000 0.0000  12 Re 3.16, 4 Sn 3.30
Re1 0.1239 0.1239 0.3761  6 Re 2.67-2.72
Sn1 0.2500 0.2500 0.7500  12 Re 3.15, 4 Pa 3.30

=====

Entry 2:
A plane-wave DFT calculation with PBE-GGA was carried out for crystalline PaReSn at its relaxed geometry.

Output
Its calculated formation energy is -116 meV/atom.

a = 3.1111 Å, b = 3.1111 Å, c = 27.3460 Å
α = 90.00°, β = 90.00°, γ = 90.00°
Closest atoms and distances in Å follow each position.
Space group I4/mmm (No. 139)
Unique sites:
Pa1 0.0000 0.0000 0.1446  4 Re 3.07, 4 Pa 3.11, 4 Sn 3.32
Re1 0.0000 0.0000 0.2770  4 Re 2.65
Sn1 0.0000 0.0000 0.4461  5 Sn 2.95-3.11

=====

Entry 3:
A plane-wave DFT calculation with PBE-GGA was carried out for crystalline PaReSn at its relaxed geometry.

Output
Its calculated formation energy is 81 meV/atom.

a = 4.6951 Å, b = 4.6951 Å, c = 3.4214 Å
α = 90.00°, β = 90.00°, γ = 120.00°
Closest atoms and distances in Å follow each position.
Space group P-6m2 (No. 187)
Unique sites:
Pa1 0.0000 0.0000 0.0000  6 Re 3.21, 6 Sn 3.21, 2 Pa 3.42
Re1 0.3333 0.6667 0.5000  3 Sn 2.71
Sn1 0.6667 0.3333 0.5000  3 Re 2.71

=====

Entry 4:
A plane-wave DFT calculation with PBE-GGA was carried out for crystalline PaReSn at its relaxed geometry.

Output
Its calculated formation energy is -52 meV/atom.

a = 3.3027 Å, b = 3.3027 Å, c = 11.7260 Å
α = 90.00°, β = 90.00°, γ = 90.00°
Closest atoms and distances in Å follow each position.
Space group I4mm (No. 107)
Unique sites:
Pa1 0.0000 0.0000 0.0000  4 Re 2.91
Re1 0.0000 0.0000 0.6484  4 Sn 2.86, 4 Pa 2.91
Sn1 0.0000 0.0000 0.2898  4 Re 2.86

=====

Entry 5:
A plane-wave DFT calculation with PBE-GGA was carried out for crystalline PaReTcSn at its relaxed geometry.

Output
Its calculated formation energy is -10 meV/atom.

a = 6.7277 Å, b = 6.7277 Å, c = 6.7277 Å
α = 90.00°, β = 90.00°, γ = 90.00°
Closest atoms and distances in Å follow each position.
Space group F-43m (No. 216)
Unique sites:
Pa1 0.0000 0.0000 0.0000  4 Tc 2.91, 4 Re 2.91
Re1 0.2500 0.2500 0.7500  4 Sn 2.91, 4 Pa 2.91
Tc1 0.2500 0.2500 0.2500  4 Sn 2.91, 4 Pa 2.91
Sn1 0.0000 0.0000 0.5000  4 Re 2.91, 4 Tc 2.91

=====

Entry 6:
A plane-wave DFT calculation with PBE-GGA was carried out for crystalline PaVReSn at its relaxed geometry.

Output
Its calculated formation energy is 44 meV/atom.

a = 6.7488 Å, b = 6.7488 Å, c = 6.7488 Å
α = 90.00°, β = 90.00°, γ = 90.00°
Closest atoms and distances in Å follow each position.
Space group F-43m (No. 216)
Unique sites:
Pa1 0.0000 0.0000 0.0000  4 Re 2.92, 4 V 2.92
V1 0.2500 0.2500 0.7500  4 Sn 2.92, 4 Pa 2.92
Re1 0.2500 0.2500 0.2500  4 Sn 2.92, 4 Pa 2.92
Sn1 0.0000 0.0000 0.5000  4 Re 2.92, 4 V 2.92

=====

Entry 7:
A plane-wave DFT calculation with PBE-GGA was carried out for crystalline PaTaRe at its relaxed geometry.

Output
Its calculated formation energy is 387 meV/atom.

a = 4.9861 Å, b = 4.9861 Å, c = 17.4433 Å
α = 90.00°, β = 90.00°, γ = 120.00°
Closest atoms and distances in Å follow each position.
Space group R-3m (No. 166, hexagonal axes)
Unique sites:
Pa1 0.0000 0.0000 0.1147  4 Re 2.72-3.02, 3 Ta 2.92
Ta1 0.0000 0.0000 0.4204  4 Re 2.62-2.91, 1 Ta 2.78, 3 Pa 2.92
Re1 0.0000 0.0000 0.2704  4 Ta 2.62-2.91, 1 Pa 2.72

=====

Entry 8:
A plane-wave DFT calculation with PBE-GGA was carried out for crystalline PaTaRe4 at its relaxed geometry.

Output
Its calculated formation energy is -1 meV/atom.

a = 7.5497 Å, b = 7.5497 Å, c = 7.5497 Å
α = 90.00°, β = 90.00°, γ = 90.00°
Closest atoms and distances in Å follow each position.
Space group F-43m (No. 216)
Unique sites:
Pa1 0.0000 0.0000 0.0000  12 Re 3.13, 4 Ta 3.27
Ta1 0.2500 0.2500 0.7500  12 Re 3.13, 4 Pa 3.27
Re1 0.1244 0.1244 0.3756  6 Re 2.66-2.68